This record from Alexandria describes a geometry-optimized CrGe2Au structure. The functional is GGA-PBE.

Results
As for the formation energy: 1.1 eV/f.u.

The structure in extended XYZ format:
```
4
Lattice="2.1231 1.2258 4.5316 -2.1231 1.2258 4.5316 0.0000 -2.4516 4.5316" Properties=species:S:1:pos:R:3 pbc="T T T"
Cr 0.0000 0.0000 0.0000
Ge 0.0000 0.0000 3.4490
Ge 0.0000 0.0000 10.1458
Au 0.0000 0.0000 6.7974
```